# 1
Compound: KMgTa2
Source: the Alexandria database
Functional: PBE
Structure: relaxed

The structure in POSCAR format:
```
KMgTa2
1.0
6.6365 -1.3841 0.0000
6.6365 1.3841 0.0000
-2.1198 0.0000 4.9497
K Mg Ta
1 1 2
Direct
0.0000 0.0000 0.0000
0.5000 0.5000 0.5000
0.2220 0.2220 0.7220
0.7780 0.7780 0.2780
```

Computed properties:
As for the formation energy from the elements: 0.904 eV/atom. As for the mass density: 7.767 Mg/m³.

=====

# 2
Compound: KMgTa4
Source: the Alexandria database
Functional: PBE
Structure: relaxed

The structure in POSCAR format:
```
KMgTa4
1.0
0.0000 4.0537 4.0537
4.0537 0.0000 4.0537
4.0537 4.0537 0.0000
K Mg Ta
1 1 4
Direct
0.0000 0.0000 0.0000
0.7500 0.7500 0.7500
0.3742 0.3742 0.3742
0.3742 0.3742 0.8774
0.3742 0.8774 0.3742
0.8774 0.3742 0.3742
```

Computed properties:
As for the formation energy from the elements: 0.961 eV/atom. As for the mass density: 9.812 Mg/m³.

=====

# 3
Compound: KMgTa
Source: the Alexandria database
Functional: PBE
Structure: relaxed

The structure in POSCAR format:
```
KMgTa
1.0
3.0323 0.0000 0.0000
1.3191 7.7244 0.0000
0.5077 1.8313 7.8223
K Mg Ta
2 2 2
Direct
0.0121 0.0801 0.2270
0.9879 0.9199 0.7730
0.2175 0.5563 0.1622
0.7825 0.4437 0.8378
0.3492 0.3603 0.5345
0.6508 0.6397 0.4655
```

Computed properties:
As for the formation energy from the elements: 0.718 eV/atom. As for the mass density: 4.429 Mg/m³.

=====

# 4
Compound: KMgTa
Source: the Alexandria database
Functional: PBE
Structure: relaxed

The structure in POSCAR format:
```
KMgTa
1.0
3.4684 0.0000 0.0000
0.0000 3.4684 0.0000
0.0000 0.0000 15.0993
K Mg Ta
2 2 2
Direct
0.2500 0.2500 0.1456
0.7500 0.7500 0.8544
0.2500 0.7500 0.5000
0.7500 0.2500 0.5000
0.2500 0.2500 0.6616
0.7500 0.7500 0.3384
```

Computed properties:
As for the formation energy from the elements: 1.393 eV/atom. As for the mass density: 4.468 Mg/m³.

=====

# 5
Compound: KMgTa2
Source: the Alexandria database
Functional: PBE
Structure: relaxed

The structure in POSCAR format:
```
KMgTa2
1.0
1.5728 -2.3885 0.0000
1.5728 2.3885 0.0000
0.0000 0.0000 11.7302
K Mg Ta
1 1 2
Direct
0.0000 0.0000 0.0000
0.0000 0.0000 0.5000
0.5000 0.5000 0.2820
0.5000 0.5000 0.7180
```

Computed properties:
As for the formation energy from the elements: 0.815 eV/atom. As for the mass density: 8.013 Mg/m³.

=====

# 6
Compound: KMgTa2
Source: the Alexandria database
Functional: PBE
Structure: relaxed

The structure in POSCAR format:
```
KMgTa2
1.0
1.4662 0.8465 11.8009
-1.4662 0.8465 11.8009
0.0000 -1.6931 11.8009
K Mg Ta
1 1 2
Direct
0.0000 0.0000 0.0000
0.5000 0.5000 0.5000
0.2404 0.2404 0.2404
0.7596 0.7596 0.7596
```

Computed properties:
As for the formation energy from the elements: 0.789 eV/atom. As for the mass density: 8.036 Mg/m³.

=====

# 7
Compound: KMgTa2
Source: the Alexandria database
Functional: PBE
Structure: relaxed

The structure in POSCAR format:
```
KMgTa2
1.0
4.0513 0.0000 0.0000
0.0000 4.0513 0.0000
0.0000 0.0000 5.6107
K Mg Ta
1 1 2
Direct
0.0000 0.0000 0.0000
0.5000 0.5000 0.0000
0.0000 0.5000 0.5000
0.5000 0.0000 0.5000
```

Computed properties:
As for the formation energy from the elements: 1.331 eV/atom. As for the mass density: 7.669 Mg/m³.

=====

# 8
Compound: KMgTa
Source: the Alexandria database
Functional: PBE
Structure: relaxed

The structure in POSCAR format:
```
KMgTa
1.0
2.6617 -6.8598 0.0000
2.6617 6.8598 0.0000
0.0000 0.0000 5.1409
K Mg Ta
2 2 2
Direct
0.2256 0.7744 0.7500
0.7744 0.2256 0.2500
0.0472 0.9528 0.2500
0.9528 0.0472 0.7500
0.5000 0.5000 0.0000
0.5000 0.5000 0.5000
```

Computed properties:
As for the formation energy from the elements: 0.837 eV/atom. As for the mass density: 4.323 Mg/m³.

=====

# 9
Compound: KMgTa
Source: the Alexandria database
Functional: PBE
Structure: relaxed

The structure in POSCAR format:
```
KMgTa
1.0
3.5400 0.0000 0.0000
0.0000 3.5410 0.0000
-0.0229 0.0000 14.9838
K Mg Ta
2 2 2
Direct
0.2474 0.2500 0.1404
0.7526 0.7500 0.8596
0.2523 0.2500 0.6589
0.7477 0.7500 0.3411
0.2488 0.2500 0.4608
0.7512 0.7500 0.5392
```

Computed properties:
As for the formation energy from the elements: 0.381 eV/atom. As for the mass density: 4.321 Mg/m³.

=====

# 10
Compound: KMgTa
Source: the Alexandria database
Functional: PBE
Structure: relaxed

The structure in POSCAR format:
```
KMgTa
1.0
5.7040 0.0000 0.0000
-2.8520 4.9398 0.0000
0.0000 0.0000 5.6223
K Mg Ta
2 2 2
Direct
0.0000 0.0000 0.0000
0.0000 0.0000 0.5000
0.6667 0.3333 0.2472
0.6667 0.3333 0.7528
0.3333 0.6667 0.2248
0.3333 0.6667 0.7752
```

Computed properties:
As for the formation energy from the elements: 1.226 eV/atom. As for the mass density: 5.123 Mg/m³.

=====

# 11
Compound: KMgTa
Source: the Alexandria database
Functional: PBE
Structure: relaxed

The structure in POSCAR format:
```
KMgTa
1.0
3.0186 0.0000 0.0000
-1.4943 6.5005 0.0000
-0.6282 -3.2297 8.8315
K Mg Ta
2 2 2
Direct
0.2114 0.1852 0.3713
0.7886 0.8148 0.6287
0.0849 0.5923 0.1877
0.9151 0.4077 0.8123
0.3394 0.1714 0.9990
0.6606 0.8286 0.0010
```

Computed properties:
As for the formation energy from the elements: 0.642 eV/atom. As for the mass density: 4.683 Mg/m³.

=====

# 12
Compound: KMgTa
Source: the Alexandria database
Functional: PBE
Structure: relaxed

The structure in POSCAR format:
```
KMgTa
1.0
0.0000 2.4421 9.1120
1.6546 0.0000 9.1120
1.6546 2.4421 0.0000
K Mg Ta
1 1 1
Direct
0.0000 0.0000 0.0000
0.3144 0.3144 0.6856
0.6781 0.6781 0.3219
```

Computed properties:
As for the formation energy from the elements: 0.793 eV/atom. As for the mass density: 5.510 Mg/m³.